1.
# Li2Si2P, relaxed, DFT PBE-GGA
data_Li2Si2P
_chemical_formula_sum 'Li2 Si2 P1'
_cell_length_a 8.2738
_cell_length_b 8.2738
_cell_length_c 8.2738
_cell_angle_alpha 156.81
_cell_angle_beta 156.81
_cell_angle_gamma 33.02
_symmetry_space_group_name_H-M 'P 1'
_symmetry_Int_Tables_number 1
_symmetry_space_group_name_Hall 'P 1'
loop_
_atom_site_label
_atom_site_type_symbol
_atom_site_fract_x
_atom_site_fract_y
_atom_site_fract_z
Li1 Li 0.5897 0.5897 0.0000
Li2 Li 0.4103 0.4103 0.0000
Si1 Si 0.2500 0.7500 0.5000
Si2 Si 0.7500 0.2500 0.5000
P1 P 0.0000 0.0000 0.0000
# - size of the total moment (μB/f.u.) = 0.00
# - energy relative to the elements, uncorrected (eV per atom) = 0.078
# - relative energy among the computed polymorphs (meV/atom) = 80
# - space group = I4/mmm, No. 139
# - Fermi-level density of states (states/eV/f.u.) = 2.8

2.
# YTaAu2, relaxed, DFT PBE-GGA
data_YTaAu2
_chemical_formula_sum 'Y1 Ta1 Au2'
_cell_length_a 5.8943
_cell_length_b 5.8943
_cell_length_c 5.8943
_cell_angle_alpha 147.37
_cell_angle_beta 131.38
_cell_angle_gamma 59.79
_symmetry_space_group_name_H-M 'P 1'
_symmetry_Int_Tables_number 1
_symmetry_space_group_name_Hall 'P 1'
loop_
_atom_site_label
_atom_site_type_symbol
_atom_site_fract_x
_atom_site_fract_y
_atom_site_fract_z
Au1 Au 0.9817 0.9817 0.0000
Au2 Au 0.7465 0.2465 0.5000
Ta1 Ta 0.5188 0.5188 0.0000
Y1 Y 0.2530 0.7530 0.5000
# - size of the total moment (μB/f.u.) = 0.00
# - ΔH_f (0 K) (eV/atom) = -0.11
# - relative energy among the computed polymorphs (meV/atom) = 134
# - space group = Imm2, No. 44
# - Fermi-level density of states (states/eV/f.u.) = 4.1

Repeat the second record exactly.
# YTaAu2, relaxed, DFT PBE-GGA
data_YTaAu2
_chemical_formula_sum 'Y1 Ta1 Au2'
_cell_length_a 5.8943
_cell_length_b 5.8943
_cell_length_c 5.8943
_cell_angle_alpha 147.37
_cell_angle_beta 131.38
_cell_angle_gamma 59.79
_symmetry_space_group_name_H-M 'P 1'
_symmetry_Int_Tables_number 1
_symmetry_space_group_name_Hall 'P 1'
loop_
_atom_site_label
_atom_site_type_symbol
_atom_site_fract_x
_atom_site_fract_y
_atom_site_fract_z
Au1 Au 0.9817 0.9817 0.0000
Au2 Au 0.7465 0.2465 0.5000
Ta1 Ta 0.5188 0.5188 0.0000
Y1 Y 0.2530 0.7530 0.5000
# - size of the total moment (μB/f.u.) = 0.00
# - ΔH_f (0 K) (eV/atom) = -0.11
# - relative energy among the computed polymorphs (meV/atom) = 134
# - space group = Imm2, No. 44
# - Fermi-level density of states (states/eV/f.u.) = 4.1